CoNiRh2O6 after structural relaxation. Source: the Alexandria database, functional GGA+U.

Geometry as POSCAR:
```
CoNiRh2O6
1.0
2.533 1.462 4.590
-2.533 1.462 4.590
0.000 -2.925 4.590
Co Ni Rh O
1 1 2 6
Direct
0.000 0.000 0.000 Co
0.511 0.511 0.511 Ni
0.312 0.312 0.312 Rh
0.805 0.805 0.805 Rh
0.093 0.388 0.725 O
0.206 0.906 0.615 O
0.388 0.725 0.093 O
0.615 0.206 0.906 O
0.725 0.093 0.388 O
0.906 0.615 0.206 O
```

Summary:
The value obtained for the total magnetic moment is 2.83 Bohr magnetons per cell. The total DFT energy (no corrections) is -6.019 eV/atom.